Material: HfPdW2O
Method: DFT, PBE with a Hubbard U
State: relaxed

Calculated volume: 78.8 Å³ per cell
E_tot: -6.7470 eV per atom

Cell lengths 4.1903, 4.4855, 4.1903 Å; angles 90.00, 90.00, 90.00 degrees
Site moments in Bohr magnetons follow the coordinates.
Positions (direct):
O 0.0000 0.0000 0.0000  0.01
Hf 0.5000 0.5000 0.5000  -0.11
Pd 0.0000 0.5000 0.0000  -0.02
W 0.0000 0.0000 0.5000  0.47
W 0.5000 0.0000 0.0000  0.47